1.
## TaAgAu6 (GGA-PBE)

Data for TaAgAu6 after structural relaxation.

Computed properties:
As for the crystal system: tetragonal. As for the space-group type: P4/mmm. The density of states at the Fermi level is 7.5 states/eV per cell. The final energy comes out at -4.22 eV/atom.

Cell and atoms, written as extended XYZ:
```
8
Lattice="4.1949 0.0000 0.0000 0.0000 4.1949 0.0000 0.0000 0.0000 8.1956" Properties=species:S:1:pos:R:3 pbc="T T T"
Ta 0.0000 0.0000 4.0978
Ag 0.0000 0.0000 0.0000
Au 2.0975 2.0975 0.0000
Au 2.0975 2.0975 4.0978
Au 2.0975 0.0000 2.1079
Au 2.0975 0.0000 6.0877
Au 0.0000 2.0975 2.1079
Au 0.0000 2.0975 6.0877
```


2.
## Ta4AgAu (GGA-PBE)

Data for Ta4AgAu after structural relaxation.

Computed properties:
As for the crystal system: cubic. As for the space-group type: F-43m. The density of states at the Fermi level is 6.1 states/eV per cell. The final energy comes out at -8.46 eV/atom.

Cell and atoms, written as extended XYZ:
```
6
Lattice="0.0000 3.8507 3.8507 3.8507 0.0000 3.8507 3.8507 3.8507 0.0000" Properties=species:S:1:pos:R:3 pbc="T T T"
Ta 2.8914 4.8101 4.8101
Ta 4.8101 4.8101 2.8914
Ta 4.8101 2.8914 4.8101
Ta 2.8914 2.8914 2.8914
Ag 5.7761 5.7761 5.7761
Au 0.0000 0.0000 0.0000
```


3.
## TaAgAu (GGA-PBE)

Data for TaAgAu after structural relaxation.

Computed properties:
As for the crystal system: cubic. As for the space-group type: F-43m. Its energy above the lowest structure with this stoichiometry is 621 meV/atom. The density of states at the Fermi level is 4.7 states/eV per cell. The final energy comes out at -5.45 eV/atom.

Cell and atoms, written as extended XYZ:
```
3
Lattice="4.4338 0.0000 0.0000 2.2169 3.8398 0.0000 2.2169 1.2799 3.6202" Properties=species:S:1:pos:R:3 pbc="T T T"
Au 2.2169 1.2799 0.9050
Ag 4.4338 2.5598 1.8101
Ta 0.0000 0.0000 0.0000
```


4.
## TaAgAu (GGA-PBE)

Data for TaAgAu after structural relaxation.

Computed properties:
As for the crystal system: orthorhombic. As for the space-group type: Imm2. Its energy above the lowest structure with this stoichiometry is 239 meV/atom. The density of states at the Fermi level is 1.2 states/eV per cell. The final energy comes out at -5.83 eV/atom.

Cell and atoms, written as extended XYZ:
```
3
Lattice="4.9876 -0.0029 -0.0040 2.3167 4.4169 0.0040 -3.1381 -3.0577 2.3831" Properties=species:S:1:pos:R:3 pbc="T T T"
Au 2.4221 1.4637 0.0000
Ag 0.0001 0.0001 0.0000
Ta 4.8807 2.9494 0.0000
```


5.
## Ta3AgAu (GGA-PBE)

Data for Ta3AgAu after structural relaxation.

Computed properties:
As for the crystal system: cubic. As for the space-group type: Pm-3m. Its energy above the lowest structure with this stoichiometry is 0 meV/atom. The density of states at the Fermi level is 14.9 states/eV per cell. The final energy comes out at -6.54 eV/atom.

Cell and atoms, written as extended XYZ:
```
5
Lattice="-2.0685 -0.4671 4.4656 -4.1760 -1.6062 -2.1024 1.6496 -4.6520 0.2775" Properties=species:S:1:pos:R:3 pbc="T T T"
Au 0.0000 0.0000 0.0000
Ag -2.2975 -3.3626 1.3204
Ta -2.0880 -0.8031 -1.0512
Ta 0.8248 -2.3260 0.1387
Ta -1.0343 -0.2336 2.2328
```


6.
## Ta3AgAu (GGA-PBE)

Data for Ta3AgAu after structural relaxation.

Computed properties:
As for the crystal system: cubic. As for the space-group type: Pm-3m. Its energy above the lowest structure with this stoichiometry is 177 meV/atom. The density of states at the Fermi level is 6.7 states/eV per cell. The final energy comes out at -6.36 eV/atom.

Cell and atoms, written as extended XYZ:
```
5
Lattice="4.8620 0.0000 0.0000 0.0000 4.8620 0.0000 0.0000 0.0000 4.8620" Properties=species:S:1:pos:R:3 pbc="T T T"
Au 2.4310 2.4310 2.4310
Ag 0.0000 0.0000 0.0000
Ta 0.0000 2.4310 0.0000
Ta 0.0000 0.0000 2.4310
Ta 2.4310 0.0000 0.0000
```


7.
## TaAgAu (GGA-PBE)

Data for TaAgAu after structural relaxation.

Computed properties:
As for the crystal system: tetragonal. As for the space-group type: I4mm. Its energy above the lowest structure with this stoichiometry is 176 meV/atom. The density of states at the Fermi level is 1.9 states/eV per cell. The final energy comes out at -5.89 eV/atom.

Cell and atoms, written as extended XYZ:
```
3
Lattice="-1.0768 -6.4659 -1.7225 0.6814 -5.5675 -3.8043 2.1933 -1.3413 1.2739" Properties=species:S:1:pos:R:3 pbc="T T T"
Au 1.3401 -4.8651 -0.9674
Ag 2.1892 -1.3583 1.2631
Ta 0.4619 -8.4926 -3.2747
```


8.
## TaAgAu (GGA-PBE)

Data for TaAgAu after structural relaxation.

Computed properties:
As for the crystal system: tetragonal. As for the space-group type: P4/nmm. Its energy above the lowest structure with this stoichiometry is 0 meV/atom. The density of states at the Fermi level is 2.6 states/eV per cell. The final energy comes out at -6.07 eV/atom.

Cell and atoms, written as extended XYZ:
```
6
Lattice="-1.9032 2.0242 0.7622 -1.6366 -2.0115 1.2554 6.3442 1.7779 11.1194" Properties=species:S:1:pos:R:3 pbc="T T T"
Ta 2.8988 0.0359 7.1427
Ta 1.6754 1.7483 4.9856
Au 0.7792 -0.5581 3.4276
Au 3.7951 2.3423 8.7007
Ag -0.4255 1.1595 1.3032
Ag 4.9998 0.6247 10.8250
```


9.
## TaAgAu (GGA-PBE)

Data for TaAgAu after structural relaxation.

Computed properties:
As for the crystal system: cubic. As for the space-group type: F-43m. Its energy above the lowest structure with this stoichiometry is 763 meV/atom. The density of states at the Fermi level is 3.4 states/eV per cell. The final energy comes out at -5.30 eV/atom.

Cell and atoms, written as extended XYZ:
```
3
Lattice="4.4780 0.0000 0.0000 2.2390 3.8781 0.0000 2.2390 1.2927 3.6563" Properties=species:S:1:pos:R:3 pbc="T T T"
Au 4.4780 2.5854 1.8281
Ag 0.0000 0.0000 0.0000
Ta 2.2390 1.2927 0.9141
```


10.
## TaAgAu (GGA-PBE)

Data for TaAgAu after structural relaxation.

Computed properties:
As for the crystal system: hexagonal. As for the space-group type: P-6m2. Its energy above the lowest structure with this stoichiometry is 228 meV/atom. The density of states at the Fermi level is 1.5 states/eV per cell. The final energy comes out at -5.84 eV/atom.

Cell and atoms, written as extended XYZ:
```
3
Lattice="-4.6503 -0.0438 -0.6220 1.9855 -2.9518 3.0592 -0.2851 1.8801 1.9991" Properties=species:S:1:pos:R:3 pbc="T T T"
Au -2.4858 -0.7002 0.9377
Ag -0.0476 0.3142 0.3341
Ta -0.4164 -0.7294 3.1644
```


11.
## TaAg3Au (GGA-PBE)

Data for TaAg3Au after structural relaxation.

Computed properties:
As for the crystal system: cubic. As for the space-group type: Pm-3m. Its energy above the lowest structure with this stoichiometry is 154 meV/atom. The density of states at the Fermi level is 3.1 states/eV per cell. The final energy comes out at -3.13 eV/atom.

Cell and atoms, written as extended XYZ:
```
5
Lattice="-4.8216 -1.5314 -0.9059 -0.1417 -2.2779 4.6048 -1.7736 4.3451 2.0948" Properties=species:S:1:pos:R:3 pbc="T T T"
Au -3.3684 0.2679 2.8968
Ag -0.0709 -1.1389 2.3024
Ag -0.8868 2.1725 1.0474
Ag -2.4108 -0.7657 -0.4530
Ta 0.0000 0.0000 0.0000
```


Going through the records in order, we get ΔE_f values of 0.08, 0.47, 0.55, 0.17, 1.80, 1.98, 0.10, -0.07, 0.69, 0.15, 1.61 eV/atom.